VASP calculation (PBE-GGA) on a geometry-optimized InSiAu2 structure.

abc: 7.644 7.644 7.644
angles: 27.35 27.35 27.35
Atoms (fractional coordinates):
Au1 0.009 0.009 0.009
Au2 0.254 0.254 0.254
In1 0.500 0.500 0.500
Si1 0.737 0.737 0.737

Properties
- Electronic total energy: -3.62 eV per atom
- Raw formation energy: 0.0563 eV per atom
- Density of states at the Fermi level: 0.34 states/eV per atom
- Spin magnetization: 0.000 μB/atom



VASP calculation (PBE-GGA) on a geometry-optimized TaAgSb structure.

abc: 4.814 4.814 2.928
angles: 90.00 90.00 120.00
Atoms (fractional coordinates):
Sb1 0.333 0.667 0.167
Ag1 0.000 0.000 0.166
Ta1 0.667 0.333 0.667

Properties
- Electronic total energy: -5.79 eV per atom
- Raw formation energy: 0.4872 eV per atom
- Density of states at the Fermi level: 1.13 states/eV per atom
- Spin magnetization: 0.001 μB/atom
- Energy above the lowest structure with this stoichiometry: 170 meV per atom